## BaCrAg2F8 (PBE with a Hubbard U)

Data for crystalline BaCrAg2F8 at its relaxed geometry.

abc: 5.2234 5.2234 7.8312
angles: 90.83 90.83 63.92
Last column: nearest neighbours and their distance in Å.
Fractional coordinates of all 12 atoms:
Ba  0.0000  0.0000  0.0000  6 F 2.79-2.81
Cr  0.0000  0.0000  0.5000  6 F 1.94-1.95
Ag  0.3125  0.3125  0.3137  2 F 2.12-2.18
Ag  0.6875  0.6875  0.6863  2 F 2.12-2.18
F  0.2008  0.7381  0.6846  1 Cr 1.95
F  0.2123  0.2123  0.5659  1 Cr 1.94
F  0.2619  0.7992  0.3154  1 Cr 1.95
F  0.3153  0.3153  0.0429  1 Ag 2.12
F  0.6847  0.6847  0.9571  1 Ag 2.12
F  0.7381  0.2008  0.6846  1 Cr 1.95
F  0.7877  0.7877  0.4341  1 Cr 1.94
F  0.7992  0.2619  0.3154  1 Cr 1.95

The uncorrected energy is -4.767 eV per atom. Its space-group type is C2/m, No. 12. The value obtained for the magnetization is 4.075 μB per formula unit.